VASP calculation (PBE-GGA) on Pm6Cd5Cu after structural relaxation.

a = 5.338 Å, b = 7.666 Å, c = 16.006 Å
α = 90.00°, β = 90.00°, γ = 90.00°
Space group Immm (No. 71)
One atom of each set of equivalent atoms:
Pm  0.000  0.234  0.000
Pm  0.000  0.259  0.340
Cd  0.000  0.000  0.177
Cd  0.000  0.000  0.500
Cd  0.000  0.500  0.168
Cu  0.000  0.500  0.500

Calculated values
The value obtained for the total energy is -3.376 eV/atom. The value obtained for the formation enthalpy at 0 K is -0.278 eV/atom. As for the density of states at the Fermi level: 14.47 states/eV/f.u. Its spin magnetization is 1.2 μB per formula unit.

=====

VASP calculation (PBE-GGA) on PmCd8Cu4 after structural relaxation.

a = 9.653 Å, b = 9.653 Å, c = 5.371 Å
α = 90.00°, β = 90.00°, γ = 90.00°
Space group I4/mmm (No. 139)
One atom of each set of equivalent atoms:
Pm  0.000  0.000  0.000
Cd  0.000  0.216  0.500
Cd  0.000  0.341  0.000
Cu  0.250  0.250  0.250

Calculated values
The value obtained for the total energy is -2.288 eV/atom. The value obtained for the formation enthalpy at 0 K is -0.099 eV/atom. As for the density of states at the Fermi level: 7.53 states/eV/f.u. Its spin magnetization is 0.0 μB per formula unit.

=====

VASP calculation (PBE-GGA) on PmPrCdCu after structural relaxation.

a = 7.486 Å, b = 7.486 Å, c = 7.486 Å
α = 90.00°, β = 90.00°, γ = 90.00°
Space group F-43m (No. 216)
One atom of each set of equivalent atoms:
Pm  0.000  0.000  0.000
Pr  0.000  0.000  0.500
Cd  0.250  0.250  0.250
Cu  0.250  0.250  0.750

Calculated values
The value obtained for the total energy is -3.817 eV/atom. The value obtained for the formation enthalpy at 0 K is -0.181 eV/atom. As for the density of states at the Fermi level: 3.97 states/eV/f.u. Its spin magnetization is 0.0 μB per formula unit.

=====

VASP calculation (PBE-GGA) on Pm2CdCu2Pt5 after structural relaxation.

a = 9.502 Å, b = 9.502 Å, c = 3.992 Å
α = 90.00°, β = 90.00°, γ = 90.00°
Space group P4/mbm (No. 127)
One atom of each set of equivalent atoms:
Pm  0.177  0.323  0.000
Cd  0.000  0.000  0.000
Cu  0.119  0.619  0.000
Pt  0.000  0.500  0.500
Pt  0.069  0.790  0.500

Calculated values
The value obtained for the total energy is -5.616 eV/atom. The value obtained for the formation enthalpy at 0 K is -0.735 eV/atom. As for the density of states at the Fermi level: 3.62 states/eV/f.u. Its spin magnetization is 0.0 μB per formula unit.

=====

Question: Which of these has the lowest formation enthalpy at 0 K?
Answer: Pm2CdCu2Pt5